# 1
VASP calculation (GGA-PBE) on an optimized crystal structure of NbTlN.

abc: 3.0964 3.0964 11.1516
angles: 90.07 90.07 90.00
Fractional coordinates of all 6 atoms:
Tl1 0.7524 0.7524 0.6196
Tl2 0.2476 0.2476 0.3804
Nb1 0.7497 0.7497 0.9094
Nb2 0.2503 0.2503 0.0906
N1 0.2496 0.2496 0.8933
N2 0.7504 0.7504 0.1067

## Properties
Crystal system: monoclinic

***

# 2
VASP calculation (GGA-PBE) on an optimized crystal structure of Y2NbTlN.

abc: 4.9219 4.9219 4.2346
angles: 90.00 90.00 90.00
Fractional coordinates of all 5 atoms:
Y1 0.0000 0.5000 0.0000
Y2 0.5000 0.0000 0.0000
Tl1 0.5000 0.5000 0.5000
Nb1 0.0000 0.0000 0.5000
N1 0.0000 0.0000 0.0000

## Properties
Crystal system: tetragonal

***

# 3
VASP calculation (GGA-PBE) on an optimized crystal structure of Zr2NbTlN.

abc: 4.6583 4.6583 4.1677
angles: 90.00 90.00 90.00
Fractional coordinates of all 5 atoms:
Tl1 0.5000 0.5000 0.5000
Nb1 0.0000 0.0000 0.5000
Zr1 0.0000 0.5000 0.0000
Zr2 0.5000 0.0000 0.0000
N1 0.0000 0.0000 0.0000

## Properties
Crystal system: tetragonal

***

# 4
VASP calculation (GGA-PBE) on an optimized crystal structure of TmNbN2.

abc: 3.1671 3.1671 5.9154
angles: 74.47 74.47 60.00
Fractional coordinates of all 4 atoms:
Tm1 0.6719 0.6719 0.9844
Nb1 0.4970 0.4970 0.5091
N1 0.0862 0.0862 0.7413
N2 0.2450 0.2450 0.2651

## Properties
Crystal system: trigonal

***

# 5
VASP calculation (GGA-PBE) on an optimized crystal structure of TmNb2N4.

abc: 3.1157 5.3491 10.3553
angles: 90.00 90.00 106.93
Fractional coordinates of all 14 atoms:
Tm1 0.6163 0.2327 0.7500
Tm2 0.3837 0.7673 0.2500
Nb1 0.1293 0.2585 0.4309
Nb2 0.8707 0.7415 0.9309
Nb3 0.1293 0.2585 0.0691
Nb4 0.8707 0.7415 0.5691
N1 0.7701 0.5402 0.1163
N2 0.7701 0.5402 0.3837
N3 0.2299 0.4598 0.8837
N4 0.2299 0.4598 0.6163
N5 0.9482 0.8965 0.7500
N6 0.0518 0.1035 0.2500
N7 0.5000 0.0000 0.0000
N8 0.5000 0.0000 0.5000

## Properties
Crystal system: orthorhombic

***

# 6
VASP calculation (GGA-PBE) on an optimized crystal structure of TmNbN2.

abc: 3.2349 4.6038 6.5504
angles: 90.00 90.00 90.00
Fractional coordinates of all 8 atoms:
Tm1 0.0000 0.5000 0.8712
Tm2 0.5000 0.0000 0.1288
Nb1 0.5000 0.0000 0.6135
Nb2 0.0000 0.5000 0.3865
N1 0.0000 0.0000 0.8616
N2 0.0000 0.0000 0.3769
N3 0.5000 0.5000 0.6231
N4 0.5000 0.5000 0.1384

## Properties
Crystal system: orthorhombic

***

no.,formation energy without anion corrections (kJ/mol of formula units)
1,-135
2,-341
3,-290
4,-536
5,-811
6,-536